Tm3Zn2Cu4 | GGA-PBE | relaxed

Unit cell a=9.606 b=4.219 c=8.276 alpha=90.00 beta=98.95 gamma=90.00
Space group C2/m (No. 12)
One atom of each set of equivalent atoms:
1 Tm 0.000 0.000 0.000 [2 per cell]
2 Tm 0.124 0.500 0.379 [4 per cell]
3 Zn 0.190 0.500 0.768 [4 per cell]
4 Cu 0.080 0.000 0.636 [4 per cell]
5 Cu 0.222 0.500 0.078 [4 per cell]

Output
energy above the most stable polymorph in this dataset = 25.3 meV/atom
D(E_F) = 11.36 states/eV/cell
total moment = 0.00 Bohr magnetons per cell
formation enthalpy at 0 K = -0.28 eV/atom